# 1
This record from Alexandria via LeMat-Bulk describes NdZn8Co4 after structural relaxation. The functional is PBE.

```
data_NdZn8Co4
_cell_length_a 8.740
_cell_length_b 8.740
_cell_length_c 4.969
_cell_angle_alpha 90.00
_cell_angle_beta 90.00
_cell_angle_gamma 90.00
_space_group_name_H-M_alt 'I 4/m m m'
_space_group_IT_number 139
_space_group_name_Hall '-I 4 2'
loop_
_atom_site_label
_atom_site_fract_x
_atom_site_fract_y
_atom_site_fract_z
Nd1 0.000 0.000 0.000
Zn1 0.000 0.229 0.500
Zn2 0.000 0.343 0.000
Co1 0.250 0.250 0.250
```

---

# 2
This record from Alexandria via LeMat-Bulk describes AcPr3Sm2N6 after structural relaxation. The functional is PBE.

Calculated values
Formation energy from raw total energies, eV per atom: -1.287

```
data_AcPr3Sm2N6
_cell_length_a 6.411
_cell_length_b 11.103
_cell_length_c 6.393
_cell_angle_alpha 90.00
_cell_angle_beta 109.45
_cell_angle_gamma 90.00
_space_group_name_H-M_alt 'C 1 2/m 1'
_space_group_IT_number 12
loop_
_space_group_symop_operation_xyz
'x,y,z'
'-x,-y,-z'
'-x,y,-z'
'x,-y,z'
'x+1/2,y+1/2,z'
'-x+1/2,-y+1/2,-z'
'-x+1/2,y+1/2,-z'
'x+1/2,-y+1/2,z'
loop_
_atom_site_label
_atom_site_fract_x
_atom_site_fract_y
_atom_site_fract_z
Ac1 0.000 0.000 0.000
Pr1 0.000 0.170 0.500
Pr2 0.000 0.500 0.500
Sm1 0.000 0.334 0.000
N1 0.236 0.500 0.247
N2 0.244 0.327 0.750
```

---

# 3
This record from Alexandria via LeMat-Bulk describes Sr4YMg5 after structural relaxation. The functional is PBE.

```
data_Sr4YMg5
_cell_length_a 4.062
_cell_length_b 4.062
_cell_length_c 20.911
_cell_angle_alpha 90.00
_cell_angle_beta 90.00
_cell_angle_gamma 90.00
_space_group_name_H-M_alt 'P 4/m m m'
_space_group_IT_number 123
_space_group_name_Hall '-P 4 2'
loop_
_atom_site_label
_atom_site_fract_x
_atom_site_fract_y
_atom_site_fract_z
Sr1 0.000 0.000 0.104
Sr2 0.000 0.000 0.313
Y1 0.000 0.000 0.500
Mg1 0.500 0.500 0.000
Mg2 0.500 0.500 0.208
Mg3 0.500 0.500 0.419
```

---

# 4
This record from Alexandria via LeMat-Bulk describes Tm2Al4ZnAu3 after structural relaxation. The functional is PBE.

```
data_Tm2Al4ZnAu3
_cell_length_a 4.197
_cell_length_b 4.197
_cell_length_c 10.927
_cell_angle_alpha 90.00
_cell_angle_beta 90.00
_cell_angle_gamma 90.00
_space_group_name_H-M_alt 'P -4 m 2'
_space_group_IT_number 115
loop_
_space_group_symop_operation_xyz
'x,y,z'
'y,-x,-z'
'-x,-y,z'
'-y,x,-z'
'-x,y,z'
'-y,-x,-z'
'x,-y,z'
'y,x,-z'
loop_
_atom_site_label
_atom_site_fract_x
_atom_site_fract_y
_atom_site_fract_z
Tm1 0.000 0.500 0.244
Al1 0.000 0.000 0.500
Al2 0.000 0.500 0.864
Al3 0.500 0.500 0.500
Zn1 0.500 0.500 0.000
Au1 0.000 0.000 0.000
Au2 0.000 0.500 0.639
```

---

# 5
This record from Alexandria via LeMat-Bulk describes Cd2AsW after structural relaxation. The functional is PBE.

```
data_Cd2AsW
_cell_length_a 3.810
_cell_length_b 3.810
_cell_length_c 5.297
_cell_angle_alpha 90.00
_cell_angle_beta 90.00
_cell_angle_gamma 90.00
_space_group_name_H-M_alt 'P 4/m m m'
_space_group_IT_number 123
_space_group_name_Hall '-P 4 2'
loop_
_atom_site_label
_atom_site_fract_x
_atom_site_fract_y
_atom_site_fract_z
Cd1 0.000 0.000 0.246
As1 0.500 0.500 0.500
W1 0.500 0.500 0.000
```

---

# 6
This record from Alexandria via LeMat-Bulk describes Pr2SnRu after structural relaxation. The functional is PBE.

```
data_Pr2SnRu
_cell_length_a 3.515
_cell_length_b 3.515
_cell_length_c 8.444
_cell_angle_alpha 90.00
_cell_angle_beta 90.00
_cell_angle_gamma 90.00
_space_group_name_H-M_alt 'P 4/m m m'
_space_group_IT_number 123
_space_group_name_Hall '-P 4 2'
loop_
_atom_site_label
_atom_site_fract_x
_atom_site_fract_y
_atom_site_fract_z
Pr1 0.000 0.000 0.210
Sn1 0.500 0.500 0.500
Ru1 0.500 0.500 0.000
```

---

# 7
This record from Alexandria via LeMat-Bulk describes SiSbIr3 after structural relaxation. The functional is PBE.

Calculated values
Formation energy from raw total energies, eV per atom: 0.566

```
data_SiSbIr3
_cell_length_a 4.512
_cell_length_b 4.512
_cell_length_c 4.512
_cell_angle_alpha 90.00
_cell_angle_beta 90.00
_cell_angle_gamma 90.00
_space_group_name_H-M_alt 'P m -3 m'
_space_group_IT_number 221
_space_group_name_Hall '-P 4 2 3'
loop_
_atom_site_label
_atom_site_fract_x
_atom_site_fract_y
_atom_site_fract_z
Si1 0.000 0.000 0.000
Sb1 0.500 0.500 0.500
Ir1 0.000 0.000 0.500
```

---

# 8
This record from Alexandria via LeMat-Bulk describes RbYPb2Br8 after structural relaxation. The functional is PBE.

Calculated values
Formation energy from raw total energies, eV per atom: -1.355

```
data_RbYPb2Br8
_cell_length_a 6.896
_cell_length_b 7.261
_cell_length_c 9.368
_cell_angle_alpha 89.97
_cell_angle_beta 89.95
_cell_angle_gamma 88.94
_space_group_name_H-M_alt 'P -1'
_space_group_IT_number 2
loop_
_space_group_symop_operation_xyz
'x,y,z'
'-x,-y,-z'
loop_
_atom_site_label
_atom_site_fract_x
_atom_site_fract_y
_atom_site_fract_z
Rb1 0.000 0.000 0.000
Y1 0.000 0.000 0.500
Pb1 0.500 0.500 0.251
Br1 0.239 0.319 0.500
Br2 0.240 0.844 0.712
Br3 0.241 0.845 0.288
Br4 0.269 0.378 0.000
```

---

| no. | VASP energy (eV per atom) | magnetic moment (μB per formula unit) |
| --- | --- | --- |
| 1 | -3.4857 | 4.4 |
| 2 | -7.7738 | 0.0 |
| 3 | -2.1708 | 0.1 |
| 4 | -4.1112 | 0.0 |
| 5 | -4.2044 | 0.0 |
| 6 | -6.0801 | 0.0 |
| 7 | -6.6600 | 0.0 |
| 8 | -3.7073 | 0.0 |